VASP calculation (GGA+U) on a geometry-optimized V2P2O7 structure.

The energy above the lowest structure with this stoichiometry comes out at 0.00 eV per formula unit. As for the space-group type: P2_1/c, No. 14.

Cell and atoms, written as POSCAR:
```
V2P2O7
1.0
4.5415 0.0000 0.0000
0.0000 10.4152 0.0000
-0.6181 0.0000 5.3930
V P O
4 4 14
direct
0.0943 0.1564 0.4193 V
0.0943 0.3436 0.9193 V
0.9057 0.6564 0.0807 V
0.9057 0.8436 0.5807 V
0.3598 0.6102 0.6499 P
0.3598 0.8898 0.1499 P
0.6402 0.1102 0.8501 P
0.6402 0.3898 0.3501 P
0.1280 0.6750 0.4618 O
0.1280 0.8250 0.9618 O
0.2160 0.5451 0.8612 O
0.2160 0.9549 0.3612 O
0.3835 0.1991 0.7528 O
0.3835 0.3009 0.2528 O
0.5000 0.0000 0.0000 O
0.5000 0.5000 0.5000 O
0.6165 0.6991 0.7472 O
0.6165 0.8009 0.2472 O
0.7840 0.0451 0.6388 O
0.7840 0.4549 0.1388 O
0.8720 0.1750 0.0382 O
0.8720 0.3250 0.5382 O
```

***

VASP calculation (GGA+U) on a geometry-optimized CoB3O structure.

The energy above the lowest structure with this stoichiometry comes out at 0.00 eV per formula unit. As for the space-group type: Pm-3m, No. 221.

Cell and atoms, written as POSCAR:
```
CoB3O
1.0
3.6981 0.0000 0.0000
0.0000 3.6981 0.0000
0.0000 0.0000 3.6981
Co B O
1 3 1
direct
0.0000 0.0000 0.0000 Co
0.0000 0.0000 0.5000 B
0.0000 0.5000 0.0000 B
0.5000 0.0000 0.0000 B
0.5000 0.5000 0.5000 O
```